DFT (PBE) results for Sr2MnAlAu6 after structural relaxation.

Structure (extended XYZ):
```
10
Lattice="6.827 0.000 0.000 3.296 6.000 0.000 3.284 2.002 5.768" Properties=species:S:1:pos:R:3 pbc="T T T"
Sr 2.775 1.641 1.197
Sr 10.631 6.361 4.571
Mn 0.000 0.000 0.000
Al 6.703 4.001 2.884
Au 4.438 3.211 3.775
Au 4.958 4.304 1.027
Au 7.243 6.274 3.944
Au 6.164 1.728 1.824
Au 8.449 3.698 4.741
Au 8.969 4.791 1.993
```

Results
energy relative to the elements: -0.42 eV per atom
total magnetization: 3.85 μB per cell
space group: P-1
calculated density: 10.1 g/cm3
DFT total energy: -0.2949 Ry/atom